No. 1
Lu2Ga2AgAu | GGA-PBE | relaxed

```
data_Lu2Ga2AgAu
_cell_length_a 4.5192
_cell_length_b 4.5192
_cell_length_c 6.8625
_cell_angle_alpha 90.00
_cell_angle_beta 90.00
_cell_angle_gamma 120.00
_symmetry_space_group_name_H-M 'P 3 m 1'
_symmetry_Int_Tables_number 156
loop_
_symmetry_equiv_pos_as_xyz
'x,y,z'
'-y,x-y,z'
'-x+y,-x,z'
'-y,-x,z'
'-x+y,y,z'
'x,x-y,z'
loop_
_atom_site_label
_atom_site_fract_x
_atom_site_fract_y
_atom_site_fract_z
Lu1 0.0000 0.0000 0.0000
Lu2 0.0000 0.0000 0.4933
Ga1 0.3333 0.6667 0.2120
Ga2 0.3333 0.6667 0.7830
Ag1 0.6667 0.3333 0.7342
Au1 0.6667 0.3333 0.2627
```

Its total energy is -4.17 eV/atom.



No. 2
Ho4I3NCl2 | GGA-PBE | relaxed

```
data_Ho4I3NCl2
_cell_length_a 18.007
_cell_length_b 3.811
_cell_length_c 8.295
_cell_angle_alpha 90.00
_cell_angle_beta 100.42
_cell_angle_gamma 90.00
_symmetry_space_group_name_H-M 'C 1 2/m 1'
_symmetry_Int_Tables_number 12
loop_
_symmetry_equiv_pos_as_xyz
'x,y,z'
'-x,-y,-z'
'-x,y,-z'
'x,-y,z'
'x+1/2,y+1/2,z'
'-x+1/2,-y+1/2,-z'
'-x+1/2,y+1/2,-z'
'x+1/2,-y+1/2,z'
loop_
_atom_site_label
_atom_site_fract_x
_atom_site_fract_y
_atom_site_fract_z
Ho1 0.002 0.000 0.310
Ho2 0.131 0.500 0.562
I1 0.000 0.500 0.000
I2 0.174 0.000 0.305
N1 0.000 0.500 0.500
Cl1 0.149 0.000 0.802
```

Its total energy is -4.97 eV/atom.



No. 3
DyYN4 | GGA-PBE | relaxed

```
data_DyYN4
_cell_length_a 7.421
_cell_length_b 4.309
_cell_length_c 4.861
_cell_angle_alpha 90.00
_cell_angle_beta 90.16
_cell_angle_gamma 90.00
_symmetry_space_group_name_H-M 'C 1 m 1'
_symmetry_Int_Tables_number 8
loop_
_symmetry_equiv_pos_as_xyz
'x,y,z'
'x,-y,z'
'x+1/2,y+1/2,z'
'x+1/2,-y+1/2,z'
loop_
_atom_site_label
_atom_site_fract_x
_atom_site_fract_y
_atom_site_fract_z
Dy1 0.000 0.000 0.000
Y1 0.166 0.500 0.483
N1 0.167 0.500 0.013
N2 0.332 0.000 0.627
N3 0.334 0.000 0.866
N4 0.499 0.500 0.470
```

Its total energy is -8.01 eV/atom.



No. 4
Lu2Re2O5 | GGA-PBE | relaxed

```
data_Lu2Re2O5
_cell_length_a 3.945
_cell_length_b 3.945
_cell_length_c 6.699
_cell_angle_alpha 90.00
_cell_angle_beta 90.00
_cell_angle_gamma 90.00
_symmetry_space_group_name_H-M 'P 4/m m m'
_symmetry_Int_Tables_number 123
_symmetry_space_group_name_Hall '-P 4 2'
loop_
_atom_site_label
_atom_site_fract_x
_atom_site_fract_y
_atom_site_fract_z
Lu1 0.000 0.000 0.000
Lu2 0.000 0.000 0.500
Re1 0.500 0.500 0.176
O1 0.000 0.500 0.245
O2 0.500 0.500 0.500
```

The calculation puts the distance to the lowest polymorph of the same formula at 0 meV/atom.



No. 5
NaErPt2 | GGA-PBE | relaxed

```
data_NaErPt2
_cell_length_a 7.066
_cell_length_b 7.687
_cell_length_c 5.946
_cell_angle_alpha 90.00
_cell_angle_beta 90.00
_cell_angle_gamma 90.00
_symmetry_space_group_name_H-M 'C m c m'
_symmetry_Int_Tables_number 63
_symmetry_space_group_name_Hall '-C 2c 2'
loop_
_atom_site_label
_atom_site_fract_x
_atom_site_fract_y
_atom_site_fract_z
Na1 0.000 0.072 0.250
Er1 0.000 0.500 0.000
Pt1 0.202 0.227 0.750
```

Its total energy is -4.92 eV/atom.



No. 6
RbAuNO | GGA-PBE | relaxed

```
data_RbAuNO
_cell_length_a 4.191
_cell_length_b 4.191
_cell_length_c 9.888
_cell_angle_alpha 90.00
_cell_angle_beta 90.00
_cell_angle_gamma 90.00
_symmetry_space_group_name_H-M 'P 4/n m m'
_symmetry_Int_Tables_number 129
loop_
_symmetry_equiv_pos_as_xyz
'x,y,z'
'-x,-y,-z'
'-y+1/2,x,z'
'y+1/2,-x,-z'
'-x+1/2,-y+1/2,z'
'x+1/2,y+1/2,-z'
'y,-x+1/2,z'
'-y,x+1/2,-z'
'x+1/2,-y,-z'
'-x+1/2,y,z'
'-y,-x,-z'
'y,x,z'
'-x,y+1/2,-z'
'x,-y+1/2,z'
'y+1/2,x+1/2,-z'
'-y+1/2,-x+1/2,z'
loop_
_atom_site_label
_atom_site_fract_x
_atom_site_fract_y
_atom_site_fract_z
Rb1 0.250 0.250 0.174
Au1 0.250 0.750 0.500
N1 0.250 0.250 0.551
O1 0.250 0.750 0.000
```

The calculation puts the distance to the lowest polymorph of the same formula at 356 meV/atom.



Number 1: volume 121 Å³ per cell. Number 2: volume 560 Å³ per cell. Number 3: volume 155 Å³ per cell. Number 4: volume 104 Å³ per cell. Number 5: volume 323 Å³ per cell. Number 6: volume 174 Å³ per cell.